Here is a relaxed structure of Mg2CuP from Alexandria. Energies are from GGA-PBE.

a b c (Å): 5.306 5.306 4.789
angles (deg): 73.06 73.06 30.93
Sites, in units of the cell vectors:
Mg: 0.769 0.769 0.701
Mg: 0.974 0.974 0.061
P: 0.535 0.535 0.525
Cu: 0.222 0.222 0.213

Computed properties:
Mass density   3.6 g/cm3
Total DFT energy (no corrections)   -3.266 eV/atom
Formation energy from the elements   -0.092 eV/atom
Density of states at the Fermi level   1.17 states/eV/cell
Space-group type   Cm, No. 8